(1)
! PmTh2Tl | the Alexandria database | PBE | relaxed; values from VASP
&SYSTEM
  ibrav = 0, nat = 4, ntyp = 3
/
ATOMIC_SPECIES
Tl 204.38 Tl.upf
Pm 145.00 Pm.upf
Th 232.04 Th.upf
CELL_PARAMETERS angstrom
-2.574 -4.280 -2.494
2.835 -4.665 -1.170
-1.032 -4.685 2.856
ATOMIC_POSITIONS angstrom
Tl -0.386 -6.815 -0.404
Pm 0.000 0.000 0.000
Th -0.193 -3.407 -0.202
Th -0.578 -10.222 -0.606
! Offset from the most stable computed form ... 217 meV per atom
! SG ... Fm-3m (225)

(2)
! NdHo2Al | the Alexandria database | PBE | relaxed; values from VASP
&SYSTEM
  ibrav = 0, nat = 4, ntyp = 3
/
ATOMIC_SPECIES
Ho 164.93 Ho.upf
Al 26.98 Al.upf
Nd 144.24 Nd.upf
CELL_PARAMETERS angstrom
5.385 0.000 0.000
2.693 4.664 0.000
2.693 1.555 4.397
ATOMIC_POSITIONS angstrom
Ho 8.078 4.664 3.298
Al 5.385 3.109 2.199
Nd 0.000 0.000 0.000
Ho 2.693 1.555 1.099
! Offset from the most stable computed form ... 203 meV per atom
! SG ... Fm-3m (225)

(3)
! Tl12Hg5Br3 | the Alexandria database | PBE | relaxed; values from VASP
&SYSTEM
  ibrav = 0, nat = 80, ntyp = 3
/
ATOMIC_SPECIES
Tl 204.38 Tl.upf
Br 79.90 Br.upf
Hg 200.59 Hg.upf
CELL_PARAMETERS angstrom
16.123 0.000 0.000
-5.374 15.201 0.000
-5.374 -7.600 13.164
ATOMIC_POSITIONS angstrom
Tl 4.493 -1.621 4.451
Tl 1.681 0.953 7.557
Tl 11.087 7.705 2.131
Tl -1.007 8.553 5.607
Br 12.092 0.000 3.291
Tl 7.723 7.496 2.131
Tl -6.381 4.380 9.535
Tl -5.713 -0.105 11.033
Tl 0.213 5.417 5.426
Br -6.718 7.600 9.873
Tl 5.713 1.793 12.008
Tl -2.901 3.607 8.561
Br 6.718 0.950 4.937
Tl 8.275 3.993 4.604
Hg -5.374 3.800 6.582
Tl 1.805 5.980 8.713
Hg 5.374 7.600 0.000
Tl -0.882 0.756 2.953
Tl 7.180 8.465 7.404
Hg 9.405 -0.950 8.228
Hg 4.031 2.850 1.646
Hg -2.687 -3.800 6.582
Hg 1.344 -3.800 9.873
Tl -0.338 9.499 0.975
Tl 3.025 9.394 1.156
Tl -0.338 5.807 1.156
Hg -2.687 7.600 0.000
Br 1.344 7.600 3.291
Tl 3.569 1.621 4.451
Br 1.344 -0.950 4.937
Tl 10.962 -3.607 8.561
Br 4.031 8.551 8.228
Tl 2.349 -1.793 12.008
Hg -1.344 0.950 8.228
Hg 0.000 0.000 0.000
Tl -2.349 0.105 11.033
Tl -2.901 -5.791 12.342
Hg 6.718 3.800 9.873
Br 9.405 4.750 1.646
Tl 6.256 6.845 10.211
Hg 6.718 -4.750 11.519
Tl 11.755 3.221 3.629
Hg -1.344 3.800 3.291
Tl 9.867 0.865 5.760
Br 4.031 0.000 9.873
Hg 5.374 -3.800 6.582
Tl -1.805 -0.865 5.760
Tl -1.681 5.333 11.186
Tl 2.349 1.898 12.190
Hg 2.687 3.800 6.582
Tl 5.713 -1.898 12.190
Tl 2.901 -2.183 7.739
Tl -5.588 11.208 4.604
Tl -1.681 -4.380 9.535
Hg -4.031 8.551 4.937
Hg 6.718 6.650 4.937
Tl 9.742 -5.333 11.186
Tl 2.474 9.784 5.426
Tl -4.493 6.736 7.404
Br -4.031 -2.850 11.519
Tl -5.161 5.791 12.342
Tl 3.026 5.702 0.975
Tl -3.569 8.356 10.211
Tl 8.943 -0.756 2.953
Tl 0.882 9.221 8.713
Tl 10.535 1.810 0.822
Hg 8.062 0.000 0.000
Tl -4.368 12.933 1.978
Tl 7.055 2.268 1.978
Br 9.405 10.451 1.646
Tl 6.381 -0.953 7.557
Br -1.344 6.650 8.228
Hg -1.344 12.351 1.646
Tl 8.275 13.391 0.822
Hg 4.031 11.401 3.291
Hg 1.344 4.750 11.519
Tl 5.161 2.183 7.739
Tl 7.055 11.980 3.629
Tl 3.694 6.647 5.607
Br -4.031 2.850 11.519
! ΔE_f (raw) ... -0.0320 eV per atom
! SG ... Ia-3d (230)

(4)
! BaAc2Ho | the Alexandria database | PBE | relaxed; values from VASP
&SYSTEM
  ibrav = 0, nat = 4, ntyp = 3
/
ATOMIC_SPECIES
Ac 227.00 Ac.upf
Ho 164.93 Ho.upf
Ba 137.33 Ba.upf
CELL_PARAMETERS angstrom
5.567 0.000 0.000
0.000 5.571 0.000
0.000 0.000 5.571
ATOMIC_POSITIONS angstrom
Ac 0.000 2.786 0.000
Ho 2.784 0.000 0.000
Ba 2.784 2.786 2.786
Ac 0.000 0.000 2.786
! Offset from the most stable computed form ... 84 meV per atom
! SG ... P4/mmm (123)

Repeat the fourth record exactly.
! BaAc2Ho | the Alexandria database | PBE | relaxed; values from VASP
&SYSTEM
  ibrav = 0, nat = 4, ntyp = 3
/
ATOMIC_SPECIES
Ac 227.00 Ac.upf
Ho 164.93 Ho.upf
Ba 137.33 Ba.upf
CELL_PARAMETERS angstrom
5.567 0.000 0.000
0.000 5.571 0.000
0.000 0.000 5.571
ATOMIC_POSITIONS angstrom
Ac 0.000 2.786 0.000
Ho 2.784 0.000 0.000
Ba 2.784 2.786 2.786
Ac 0.000 0.000 2.786
! Offset from the most stable computed form ... 84 meV per atom
! SG ... P4/mmm (123)